(1)
Material: Er2CoS2
Method: DFT, PBE
State: optimized geometry

Lattice parameters (Å, degrees): 5.2994 5.2951 5.2808 60.14 60.06 59.80
Closest atoms and distances in Å follow each position.
Fractional positions:
S  0.2142  0.7858  0.7858  1 Co 2.13
S  0.7858  0.2142  0.2142  1 Co 2.13
Er  0.7500  0.7500  0.7500  4 S 2.66
Er  0.2500  0.2500  0.2500  4 S 2.66
Co  0.5000  0.5000  0.5000  2 S 2.13

Calculated values
E, eV per cell: -30.0

(2)
Material: Er5CoSb2
Method: DFT, PBE
State: optimized geometry

Lattice parameters (Å, degrees): 12.0852 8.7101 7.8020 90.00 90.00 90.00
Closest atoms and distances in Å follow each position.
Fractional positions:
Er  0.3078  0.2500  0.3776  1 Co 2.67
Er  0.0020  0.7500  0.4509  1 Co 2.97, 4 Sb 3.09
Er  0.5020  0.7500  0.0491  1 Co 2.97, 4 Sb 3.09
Er  0.5653  0.0378  0.3235  2 Co 2.72-2.82
Er  0.7961  0.7500  0.1564  1 Co 2.67
Er  0.6922  0.7500  0.6224  1 Co 2.67
Er  0.2039  0.2500  0.8436  1 Co 2.67
Er  0.9347  0.5378  0.8235  2 Co 2.72-2.82
Er  0.4347  0.9622  0.6765  2 Co 2.72-2.82
Er  0.8078  0.2500  0.1224  1 Co 2.67
Er  0.0653  0.0378  0.1765  2 Co 2.72-2.82
Er  0.4980  0.2500  0.9509  1 Co 2.97, 4 Sb 3.09
Er  0.1922  0.7500  0.8776  1 Co 2.67
Er  0.5653  0.4622  0.3235  2 Co 2.72-2.82
Er  0.7039  0.2500  0.6564  1 Co 2.67
Er  0.0653  0.4622  0.1765  2 Co 2.72-2.82
Er  0.2961  0.7500  0.3436  1 Co 2.67
Er  0.9980  0.2500  0.5491  1 Co 2.97, 4 Sb 3.09
Er  0.9347  0.9622  0.8235  2 Co 2.72-2.82
Er  0.4347  0.5378  0.6765  2 Co 2.72-2.82
Sb  0.6727  0.5083  0.9309  8 Er 3.09-3.35
Sb  0.8273  0.0083  0.4309  8 Er 3.09-3.35
Sb  0.8273  0.4917  0.4309  8 Er 3.09-3.35
Sb  0.1727  0.5083  0.5691  8 Er 3.09-3.35
Sb  0.3273  0.4917  0.0691  8 Er 3.09-3.35
Sb  0.3273  0.0083  0.0691  8 Er 3.09-3.35
Sb  0.1727  0.9917  0.5691  8 Er 3.09-3.35
Sb  0.6727  0.9917  0.9309  8 Er 3.09-3.35
Co  0.5100  0.7500  0.4299  7 Er 2.67-2.97
Co  0.4900  0.2500  0.5701  7 Er 2.67-2.97
Co  0.9900  0.2500  0.9299  7 Er 2.67-2.97
Co  0.0100  0.7500  0.0701  7 Er 2.67-2.97

Calculated values
E, eV per cell: -175.2

(3)
Material: ErScCo
Method: DFT, PBE
State: optimized geometry

Lattice parameters (Å, degrees): 4.4811 4.4811 4.4811 60.00 60.00 60.00
Closest atoms and distances in Å follow each position.
Fractional positions:
Er  0.7500  0.7500  0.7500  4 Sc 2.74
Sc  0.0000  0.0000  0.0000  4 Co 2.74, 4 Er 2.74
Co  0.2500  0.2500  0.2500  4 Sc 2.74

Calculated values
Formation enthalpy at 0 K, eV/atom: 0.675

(4)
Material: Er5Co2Se2
Method: DFT, PBE
State: optimized geometry

Lattice parameters (Å, degrees): 7.4956 7.4956 14.3440 90.00 90.00 150.46
Closest atoms and distances in Å follow each position.
Fractional positions:
Er  0.7561  0.2439  0.8772  3 Co 2.79-2.91, 3 Se 2.95-3.02
Er  0.4633  0.5367  0.8790  3 Co 2.76-2.81
Er  0.7561  0.2439  0.6228  3 Co 2.79-2.91, 3 Se 2.95-3.02
Er  0.8917  0.1083  0.2500  2 Co 2.84-3.03, 2 Se 3.03
Er  0.2439  0.7561  0.3772  3 Co 2.79-2.91, 3 Se 2.95-3.02
Er  0.5367  0.4633  0.1210  3 Co 2.76-2.81
Er  0.5367  0.4633  0.3790  3 Co 2.76-2.81
Er  0.4633  0.5367  0.6210  3 Co 2.76-2.81
Er  0.1083  0.8917  0.7500  2 Co 2.84-3.03, 2 Se 3.03
Er  0.2439  0.7561  0.1228  3 Co 2.79-2.91, 3 Se 2.95-3.02
Se  0.1178  0.8822  0.9609  8 Er 2.95-3.21
Se  0.8822  0.1178  0.0391  8 Er 2.95-3.21
Se  0.1178  0.8822  0.5391  8 Er 2.95-3.21
Se  0.8822  0.1178  0.4609  8 Er 2.95-3.21
Co  0.9123  0.0877  0.7500  2 Co 2.36
Co  0.3173  0.6827  0.7500  2 Co 2.36
Co  0.6827  0.3173  0.2500  2 Co 2.36
Co  0.0877  0.9123  0.2500  2 Co 2.36

Calculated values
E, eV per cell: -104.0

(5)
Material: ErCoSi
Method: DFT, PBE
State: optimized geometry

Lattice parameters (Å, degrees): 6.5859 6.5859 3.7910 90.00 90.00 120.00
Closest atoms and distances in Å follow each position.
Fractional positions:
Er  0.5804  0.0000  0.5000  5 Co 2.74-2.76, 6 Si 2.95-3.06
Er  0.4196  0.4196  0.5000  5 Co 2.74-2.76, 6 Si 2.95-3.06
Er  0.0000  0.5804  0.5000  5 Co 2.74-2.76, 6 Si 2.95-3.06
Si  0.2370  0.0000  0.0000  4 Co 2.46-2.57, 2 Si 2.70
Si  0.7630  0.7630  0.0000  4 Co 2.46-2.57, 2 Si 2.70
Si  0.0000  0.2370  0.0000  4 Co 2.46-2.57, 2 Si 2.70
Co  0.6667  0.3333  0.0000  3 Si 2.57, 6 Er 2.74
Co  0.3333  0.6667  0.0000  3 Si 2.57, 6 Er 2.74
Co  0.0000  0.0000  0.5000  6 Si 2.46

Calculated values
E, eV per cell: -56.9

(6)
Material: ErCo9Si2
Method: DFT, PBE
State: optimized geometry

Lattice parameters (Å, degrees): 6.2259 7.4719 7.4719 100.00 65.38 114.62
Closest atoms and distances in Å follow each position.
Fractional positions:
Co  0.6378  0.0785  0.1678  2 Si 2.34-2.36, 7 Co 2.37-2.59
Co  0.7729  0.3322  0.4215  2 Si 2.34-2.36, 7 Co 2.37-2.59
Co  0.2271  0.4215  0.3322  2 Si 2.34-2.36, 7 Co 2.37-2.59
Co  0.3750  0.2500  0.7500  4 Si 2.52, 8 Co 2.59
Co  0.6378  0.8322  0.9215  2 Si 2.34-2.36, 7 Co 2.37-2.59
Co  0.3056  0.1678  0.4215  2 Si 2.34-2.36, 7 Co 2.37-2.59
Co  0.3622  0.1678  0.0785  2 Si 2.34-2.36, 7 Co 2.37-2.59
Co  0.6250  0.7500  0.2500  4 Si 2.52, 8 Co 2.59
Co  0.0593  0.9215  0.6678  2 Si 2.34-2.36, 7 Co 2.37-2.59
Co  0.9407  0.0785  0.3322  2 Si 2.34-2.36, 7 Co 2.37-2.59
Co  0.6944  0.4215  0.1678  2 Si 2.34-2.36, 7 Co 2.37-2.59
Co  0.2271  0.6678  0.5785  2 Si 2.34-2.36, 7 Co 2.37-2.59
Co  0.3622  0.9215  0.8322  2 Si 2.34-2.36, 7 Co 2.37-2.59
Co  0.7729  0.5785  0.6678  2 Si 2.34-2.36, 7 Co 2.37-2.59
Co  0.3056  0.5785  0.8322  2 Si 2.34-2.36, 7 Co 2.37-2.59
Co  0.9407  0.6678  0.9215  2 Si 2.34-2.36, 7 Co 2.37-2.59
Co  0.6944  0.8322  0.5785  2 Si 2.34-2.36, 7 Co 2.37-2.59
Co  0.0593  0.3322  0.0785  2 Si 2.34-2.36, 7 Co 2.37-2.59
Si  0.5000  0.0000  0.5000  10 Co 2.34-2.52
Si  0.5000  0.5000  0.0000  10 Co 2.34-2.52
Si  0.0000  0.0000  0.0000  10 Co 2.34-2.52
Si  0.5000  0.5000  0.5000  10 Co 2.34-2.52
Er  0.8750  0.2500  0.7500  18 Co 2.99-3.11, 4 Si 3.35
Er  0.1250  0.7500  0.2500  18 Co 2.99-3.11, 4 Si 3.35

Calculated values
E, eV per cell: -165.4

(7)
Material: ErCoSi
Method: DFT, PBE
State: optimized geometry

Lattice parameters (Å, degrees): 6.6371 6.6371 3.8743 90.00 90.00 120.00
Closest atoms and distances in Å follow each position.
Fractional positions:
Er  0.5794  0.0000  0.5000  5 Si 2.78-2.79, 6 Co 3.03-3.10
Er  0.4206  0.4206  0.5000  5 Si 2.78-2.79, 6 Co 3.03-3.10
Er  0.0000  0.5794  0.5000  5 Si 2.78-2.79, 6 Co 3.03-3.10
Si  0.0000  0.0000  0.5000  6 Co 2.46
Si  0.3333  0.6667  0.0000  3 Co 2.63, 6 Er 2.78
Si  0.6667  0.3333  0.0000  3 Co 2.63, 6 Er 2.78
Co  0.2288  0.0000  0.0000  4 Si 2.46-2.63, 2 Co 2.63
Co  0.0000  0.2288  0.0000  4 Si 2.46-2.63, 2 Co 2.63
Co  0.7712  0.7712  0.0000  4 Si 2.46-2.63, 2 Co 2.63

Calculated values
E, eV per cell: -56.8

(8)
Material: Er3CoSi3
Method: DFT, PBE
State: optimized geometry

Lattice parameters (Å, degrees): 4.1365 5.5752 12.6356 95.13 99.42 68.22
Closest atoms and distances in Å follow each position.
Fractional positions:
Si  0.8848  0.1545  0.9242  2 Si 2.51-2.52
Si  0.1152  0.8455  0.0758  2 Si 2.51-2.52
Si  0.1391  0.2657  0.5438  3 Co 2.34
Si  0.8609  0.7343  0.4562  3 Co 2.34
Si  0.0514  0.1379  0.2408  1 Co 2.49, 1 Si 2.52
Si  0.9486  0.8621  0.7592  1 Co 2.49, 1 Si 2.52
Er  0.2532  0.2649  0.7713  6 Si 2.84-3.10
Er  0.7468  0.7351  0.2287  6 Si 2.84-3.10
Er  0.4743  0.6719  0.6206  6 Si 2.85-3.08, 4 Co 2.89-3.10
Er  0.3989  0.2825  0.0802  7 Si 2.90-3.06
Er  0.5257  0.3281  0.3794  6 Si 2.85-3.08, 4 Co 2.89-3.10
Er  0.6011  0.7175  0.9198  7 Si 2.90-3.06
Co  0.2472  0.9223  0.4168  4 Si 2.34-2.49
Co  0.7528  0.0777  0.5832  4 Si 2.34-2.49

Calculated values
E, eV per cell: -85.3

Number 1: size of the total moment 0.000 μB per atom. Number 2: size of the total moment 0.001 μB per atom. Number 3: size of the total moment 0.001 μB per atom. Number 4: size of the total moment 0.001 μB per atom. Number 5: size of the total moment 0.000 μB per atom. Number 6: size of the total moment 0.001 μB per atom. Number 7: size of the total moment 0.000 μB per atom. Number 8: size of the total moment 0.001 μB per atom.